No. 1
Crystalline Tb4MnGa12 at its relaxed geometry, computed with PBE.

Lattice parameters (Å, degrees): 7.472 7.472 7.472 109.47 109.47 109.47
Atoms (fractional coordinates):
1 Tb 0.000 0.000 0.500
2 Tb 0.000 0.500 0.000
3 Tb 0.500 0.000 0.000
4 Tb 0.500 0.500 0.500
5 Mn 0.000 0.000 0.000
6 Ga 0.000 0.288 0.288
7 Ga 0.000 0.712 0.712
8 Ga 0.250 0.500 0.750
9 Ga 0.250 0.750 0.500
10 Ga 0.288 0.000 0.288
11 Ga 0.288 0.288 0.000
12 Ga 0.500 0.250 0.750
13 Ga 0.500 0.750 0.250
14 Ga 0.712 0.000 0.712
15 Ga 0.712 0.712 0.000
16 Ga 0.750 0.250 0.500
17 Ga 0.750 0.500 0.250

Calculated values
- N(E_F) (states/eV/f.u.) = 5.429
- energy of formation from the pure elements (eV/atom) = -0.542
- crystal system = cubic


No. 2
Crystalline Y4S at its relaxed geometry, computed with PBE.

Lattice parameters (Å, degrees): 5.319 5.319 5.319 90.00 90.00 90.00
Atoms (fractional coordinates):
1 Y 0.000 0.000 0.000
2 Y 0.000 0.500 0.500
3 Y 0.500 0.000 0.500
4 Y 0.500 0.500 0.000
5 S 0.500 0.500 0.500

Calculated values
- formation energy from raw total energies (meV/atom) = -673
- N(E_F) (states/eV/f.u.) = 9.509
- crystal system = cubic


No. 3
Crystalline La3NdEr6Tm2 at its relaxed geometry, computed with PBE.

Lattice parameters (Å, degrees): 6.203 6.203 11.803 95.02 95.02 120.00
Atoms (fractional coordinates):
1 La 0.000 0.000 0.000
2 La 0.333 0.667 0.000
3 La 0.667 0.333 0.000
4 Nd 0.500 0.500 0.500
5 Er 0.084 0.418 0.255
6 Er 0.247 0.247 0.745
7 Er 0.418 0.084 0.255
8 Er 0.582 0.916 0.745
9 Er 0.753 0.753 0.255
10 Er 0.916 0.582 0.745
11 Tm 0.167 0.833 0.500
12 Tm 0.833 0.167 0.500

Calculated values
- N(E_F) (states/eV/f.u.) = 15.920
- energy of formation from the pure elements (eV/atom) = 0.025
- crystal system = monoclinic


No. 4
Crystalline DyErTm2In4 at its relaxed geometry, computed with PBE.

Lattice parameters (Å, degrees): 9.157 9.157 9.157 33.48 33.48 33.48
Atoms (fractional coordinates):
1 Dy 0.000 0.000 0.000
2 Er 0.500 0.500 0.500
3 Tm 0.250 0.250 0.250
4 Tm 0.750 0.750 0.750
5 In 0.125 0.125 0.125
6 In 0.375 0.375 0.375
7 In 0.625 0.625 0.625
8 In 0.875 0.875 0.875

Calculated values
- N(E_F) (states/eV/f.u.) = 4.359
- energy of formation from the pure elements (eV/atom) = -0.437
- crystal system = trigonal


No. 5
Crystalline YHg4P at its relaxed geometry, computed with PBE.

Lattice parameters (Å, degrees): 5.904 5.904 5.904 60.00 60.00 60.00
Atoms (fractional coordinates):
1 Y 0.000 0.000 0.000
2 Hg 0.126 0.625 0.625
3 Hg 0.625 0.126 0.625
4 Hg 0.625 0.625 0.126
5 Hg 0.625 0.625 0.625
6 P 0.250 0.250 0.250

Calculated values
- N(E_F) (states/eV/f.u.) = 3.267
- energy of formation from the pure elements (eV/atom) = 0.149
- crystal system = cubic


No. 6
Crystalline MgNpGa2Pt2 at its relaxed geometry, computed with PBE.

Lattice parameters (Å, degrees): 4.422 4.422 6.565 90.00 90.00 120.00
Atoms (fractional coordinates):
1 Mg 0.000 0.000 0.000
2 Np 0.000 0.000 0.500
3 Ga 0.333 0.667 0.207
4 Ga 0.667 0.333 0.793
5 Pt 0.333 0.667 0.767
6 Pt 0.667 0.333 0.233

Calculated values
- N(E_F) (states/eV/f.u.) = 10.541
- energy of formation from the pure elements (eV/atom) = -0.611
- crystal system = trigonal


No. 7
Crystalline ZrTlRu2 at its relaxed geometry, computed with PBE.

Lattice parameters (Å, degrees): 9.632 9.632 9.632 17.82 17.82 17.82
Atoms (fractional coordinates):
1 Zr 0.000 0.000 0.000
2 Tl 0.238 0.238 0.238
3 Ru 0.488 0.488 0.488
4 Ru 0.752 0.752 0.752

Calculated values
- N(E_F) (states/eV/f.u.) = 4.174
- energy of formation from the pure elements (eV/atom) = 0.388
- crystal system = trigonal


No. 8
Crystalline HoMnPtAu at its relaxed geometry, computed with PBE.

Lattice parameters (Å, degrees): 4.764 4.764 4.764 60.00 60.00 60.00
Atoms (fractional coordinates):
1 Ho 0.000 0.000 0.000
2 Mn 0.500 0.500 0.500
3 Pt 0.250 0.250 0.250
4 Au 0.750 0.750 0.750

Calculated values
- N(E_F) (states/eV/f.u.) = 1.743
- energy of formation from the pure elements (eV/atom) = -0.603
- crystal system = cubic


No. 9
Crystalline KNdGe2Cl8 at its relaxed geometry, computed with PBE.

Lattice parameters (Å, degrees): 6.401 6.895 9.047 87.13 88.78 86.11
Atoms (fractional coordinates):
1 K 0.000 0.000 0.000
2 Nd 0.000 0.000 0.500
3 Ge 0.462 0.458 0.258
4 Ge 0.538 0.542 0.742
5 Cl 0.215 0.807 0.283
6 Cl 0.249 0.320 0.461
7 Cl 0.265 0.858 0.722
8 Cl 0.278 0.355 0.064
9 Cl 0.722 0.645 0.936
10 Cl 0.735 0.142 0.278
11 Cl 0.751 0.680 0.539
12 Cl 0.785 0.193 0.717

Calculated values
- formation energy from raw total energies (meV/atom) = -1471
- N(E_F) (states/eV/f.u.) = 0.000
- crystal system = triclinic


No. 10
Crystalline Pr6YEr12 at its relaxed geometry, computed with PBE.

Lattice parameters (Å, degrees): 8.677 8.677 8.677 79.66 79.66 79.66
Atoms (fractional coordinates):
1 Pr 0.266 0.266 0.666
2 Pr 0.266 0.666 0.266
3 Pr 0.334 0.734 0.734
4 Pr 0.666 0.266 0.266
5 Pr 0.734 0.334 0.734
6 Pr 0.734 0.734 0.334
7 Y 0.500 0.500 0.500
8 Er 0.013 0.013 0.696
9 Er 0.013 0.696 0.013
10 Er 0.016 0.362 0.362
11 Er 0.304 0.987 0.987
12 Er 0.362 0.016 0.362
13 Er 0.362 0.362 0.016
14 Er 0.638 0.638 0.984
15 Er 0.638 0.984 0.638
16 Er 0.696 0.013 0.013
17 Er 0.984 0.638 0.638
18 Er 0.987 0.304 0.987
19 Er 0.987 0.987 0.304

Calculated values
- N(E_F) (states/eV/f.u.) = 29.170
- energy of formation from the pure elements (eV/atom) = 0.130
- crystal system = trigonal


No. 11
Crystalline BaIn at its relaxed geometry, computed with PBE.

Lattice parameters (Å, degrees): 7.411 8.112 10.458 90.00 90.00 90.00
Atoms (fractional coordinates):
1 Ba 0.000 0.250 0.229
2 Ba 0.000 0.750 0.771
3 Ba 0.111 0.250 0.854
4 Ba 0.389 0.750 0.354
5 Ba 0.500 0.250 0.271
6 Ba 0.500 0.750 0.729
7 Ba 0.611 0.250 0.646
8 Ba 0.889 0.750 0.146
9 In 0.179 0.065 0.540
10 In 0.179 0.435 0.540
11 In 0.321 0.565 0.040
12 In 0.321 0.935 0.040
13 In 0.679 0.065 0.960
14 In 0.679 0.435 0.960
15 In 0.821 0.565 0.460
16 In 0.821 0.935 0.460

Calculated values
- N(E_F) (states/eV/f.u.) = 1.369
- energy of formation from the pure elements (eV/atom) = -0.375
- crystal system = orthorhombic